1.
Below is a relaxed structure of Na2SiPd3, with properties calculated at the PBE level.

```
Na2SiPd3
1.0
2.798 1.615 3.785
-2.798 1.615 3.785
0.000 -3.230 3.785
Na Si Pd
2 1 3
direct
0.121 0.121 0.121
0.879 0.879 0.879
0.500 0.500 0.500
0.000 0.500 0.500
0.500 0.000 0.500
0.500 0.500 0.000
```

2.
Below is a relaxed structure of BaLuMgAu, with properties calculated at the PBE level.

Calculated values
E above lowest polymorph: 1.51 kcal/mol of atoms

```
BaLuMgAu
1.0
0.000 3.712 3.712
3.712 0.000 3.712
3.712 3.712 0.000
Ba Lu Mg Au
1 1 1 1
direct
0.000 0.000 0.000
0.750 0.750 0.750
0.250 0.250 0.250
0.500 0.500 0.500
```

3.
Below is a relaxed structure of Mg2Sc2CdCuAg2, with properties calculated at the PBE level.

```
Mg2Sc2CdCuAg2
1.0
4.724 0.000 0.000
0.000 4.724 0.000
0.000 0.000 6.810
Mg Sc Cd Cu Ag
2 2 1 1 2
direct
0.000 0.500 0.239
0.500 0.000 0.761
0.000 0.500 0.768
0.500 0.000 0.232
0.000 0.000 0.500
0.500 0.500 0.000
0.000 0.000 0.000
0.500 0.500 0.500
```

Number 1: energy -4.362 eV per atom. Number 2: energy -2.938 eV per atom. Number 3: energy -3.506 eV per atom.